Material: CdCoBiO4
Method: DFT, PBE+U
State: relaxed

Geometry as CIF:
```
data_CdCoBiO4
_chemical_formula_sum 'Cd4 Co4 Bi4 O16'
_symmetry_space_group_name_H-M 'C m c m'
_symmetry_Int_Tables_number 63
_symmetry_space_group_name_Hall '-C 2c 2'
_cell_length_a 6.150
_cell_length_b 9.650
_cell_length_c 7.077
_cell_angle_alpha 90.00
_cell_angle_beta 90.00
_cell_angle_gamma 90.00
loop_
_atom_site_label
_atom_site_type_symbol
_atom_site_fract_x
_atom_site_fract_y
_atom_site_fract_z
Cd1 Cd 0.000 0.162 0.250
Co1 Co 0.000 0.159 0.750
Bi1 Bi 0.000 0.500 0.000
O1 O 0.000 0.257 0.531
O2 O 0.237 0.021 0.750
```

Summary:
Calculated volume   15.00 Å³ per atom
Density   7.03 Mg/m³
E   -5.265 eV/atom